1.
The following is a GGA-PBE calculation of a relaxed structure of La6InAg2, from Alexandria.

```
La6InAg2
1.0
-9.048 -0.354 1.019
2.841 -5.835 -6.396
4.141 -2.358 7.767
La Ag In
12 4 2
Cartesian
-2.588 -4.213 3.435
4.289 -6.725 2.790
0.733 -2.552 2.092
-2.798 -5.995 0.298
-5.097 -1.269 2.943
0.523 -4.334 -1.046
3.032 -7.278 -0.553
-2.612 -2.197 0.172
3.362 -3.542 4.657
0.547 -6.350 2.218
-6.354 -1.823 -0.401
-5.428 -5.005 -2.268
-1.770 -0.979 3.170
0.139 -4.398 4.902
-3.136 -1.733 5.615
-2.205 -4.149 -2.512
0.000 0.000 0.000
3.491 -4.097 0.685
```

Properties
Density, kg/m3: 6648
Formation energy from the elements, eV per atom: -0.202
Magnetization, Bohr magnetons per cell: 0.00
Symmetry: Immm



2.
The following is a GGA-PBE calculation of a relaxed structure of La2In3Ag2, from Alexandria.

```
La2In3Ag2
1.0
4.537 0.000 -1.082
0.000 7.846 0.000
0.119 0.000 10.556
In La Ag
6 4 4
Cartesian
2.089 4.462 8.760
2.568 3.383 0.714
3.588 1.961 4.994
2.568 0.539 0.714
1.068 5.884 4.480
2.089 7.306 8.760
0.261 5.884 1.093
4.396 1.961 8.382
3.892 5.884 6.268
0.764 1.961 3.207
1.478 0.446 6.198
3.179 7.400 3.277
1.478 3.477 6.198
3.179 4.369 3.277
```

Properties
Distance to the lowest polymorph of the same formula, meV per atom: 5.0
Density, kg/m3: 7386
Formation energy from the elements, eV per atom: -0.373
Magnetization, Bohr magnetons per cell: 0.00
Symmetry: Cmcm